Record 1
# V3MoW3

A relaxed V3MoW3 crystal (PBE, the Alexandria database).

Cell lengths 5.161, 6.750, 6.763 Å; angles 99.04, 110.25, 101.89 degrees
Atoms (fractional coordinates):
V 0.139 0.390 0.175
V 0.142 0.894 0.681
V 0.284 0.035 0.106
V 0.716 0.965 0.894
V 0.858 0.106 0.319
V 0.861 0.610 0.825
Mo 0.001 0.753 0.248
Mo 0.999 0.247 0.752
W 0.286 0.537 0.608
W 0.426 0.178 0.533
W 0.428 0.683 0.034
W 0.572 0.317 0.966
W 0.574 0.822 0.467
W 0.714 0.463 0.392

**Formation energy**: -0.10 eV/atom
**DFT total energy**: -155.43 eV per cell

Record 2
# Dy2Rh6C

A relaxed Dy2Rh6C crystal (PBE, the Alexandria database).

Cell lengths 5.805, 5.805, 5.805 Å; angles 60.00, 60.00, 60.00 degrees
Atoms (fractional coordinates):
Dy 0.250 0.250 0.250
Dy 0.750 0.750 0.750
Rh 0.246 0.246 0.754
Rh 0.246 0.754 0.246
Rh 0.246 0.754 0.754
Rh 0.754 0.246 0.246
Rh 0.754 0.246 0.754
Rh 0.754 0.754 0.246
C 0.500 0.500 0.500

**Formation energy**: -0.60 eV/atom
**DFT total energy**: -67.90 eV per cell

Record 3
# K2NiOs

A relaxed K2NiOs crystal (PBE, the Alexandria database).

Cell lengths 3.321, 3.321, 10.126 Å; angles 90.00, 90.00, 90.00 degrees
Atoms (fractional coordinates):
K 0.000 0.000 0.000
K 0.500 0.500 0.433
Ni 0.000 0.000 0.679
Os 0.500 0.500 0.746

**Formation energy**: 0.79 eV/atom
**DFT total energy**: -16.03 eV per cell

Record 4
# ReBiB3

A relaxed ReBiB3 crystal (PBE, the Alexandria database).

Cell lengths 4.462, 4.462, 4.462 Å; angles 90.00, 90.00, 90.00 degrees
Atoms (fractional coordinates):
Re 0.000 0.000 0.000
Bi 0.500 0.500 0.500
B 0.000 0.500 0.500
B 0.500 0.000 0.500
B 0.500 0.500 0.000

**Formation energy**: 3.39 eV/atom
**DFT total energy**: -19.42 eV per cell

Q: formation energy of number 1 (V3MoW3)?
A: -0.10 eV/atom